(1)
An optimized crystal structure of CaSiMo2, computed with PBE.

Cell lengths 5.344, 5.344, 2.704 Å; angles 90.00, 90.00, 116.90 degrees
Element x y z (fractional)
Ca (0.000, 0.000, 0.000)
Si (0.500, 0.500, 0.000)
Mo (0.000, 0.500, 0.500)
Mo (0.500, 0.000, 0.500)

Values from the calculation:
Mass density (g/cm3): 6.3
Uncorrected formation energy (eV/atom): 0.592

***

(2)
An optimized crystal structure of Rb3Pa3CrSe8, computed with PBE.

Cell lengths 9.514, 9.514, 9.514 Å; angles 51.52, 51.52, 51.52 degrees
Element x y z (fractional)
Rb (0.000, 0.500, 0.500)
Rb (0.500, 0.000, 0.500)
Rb (0.500, 0.500, 0.000)
Pa (0.000, 0.000, 0.500)
Pa (0.000, 0.500, 0.000)
Pa (0.500, 0.000, 0.000)
Cr (0.500, 0.500, 0.500)
Se (0.234, 0.234, 0.234)
Se (0.238, 0.725, 0.725)
Se (0.275, 0.275, 0.762)
Se (0.275, 0.762, 0.275)
Se (0.725, 0.238, 0.725)
Se (0.725, 0.725, 0.238)
Se (0.762, 0.275, 0.275)
Se (0.766, 0.766, 0.766)

Values from the calculation:
Mass density (g/cm3): 5.6
Uncorrected formation energy (eV/atom): -1.196

***

(3)
An optimized crystal structure of LiCaPr2, computed with PBE.

Cell lengths 5.762, 5.762, 5.762 Å; angles 60.00, 60.00, 60.00 degrees
Element x y z (fractional)
Li (0.000, 0.000, 0.000)
Ca (0.500, 0.500, 0.500)
Pr (0.250, 0.250, 0.250)
Pr (0.750, 0.750, 0.750)

Values from the calculation:
Mass density (g/cm3): 4.0
Total DFT energy (no corrections) (eV per atom): -3.181

***

Which value of mass density does entry 3 give?
4.0 g/cm3